VASP calculation (PBE+U) on a geometry-optimized PaFe2PbO6 structure.

Cell lengths 5.664, 5.635, 5.904 Å; angles 62.67, 61.41, 59.83 degrees
Last column: magnetic moment on the atom in μB.
Fractional positions:
Pb (0.799, 0.790, 0.617)  0.01
Fe (0.524, 0.528, 0.421)  3.80
O (0.331, 0.728, 0.753)  0.13
O (0.236, 0.909, 0.222)  0.10
O (0.737, 0.175, 0.764)  0.12
Pa (0.314, 0.312, 0.060)  0.06
O (0.175, 0.323, 0.766)  0.13
O (0.625, 0.246, 0.231)  0.10
Fe (0.016, 0.012, 0.958)  4.31
O (0.904, 0.638, 0.222)  0.10

Calculated total energy in Ha/atom: -0.2751
Crystal system: triclinic
SG: P1